A geometry-optimized Re2NiP structure. Source: Alexandria, functional PBE.

Cell lengths 8.118, 8.118, 8.118 Å; angles 19.81, 19.81, 19.81 degrees
Sites, in units of the cell vectors:
P1 0.000 0.000 0.000
Re1 0.254 0.254 0.254
Re2 0.746 0.746 0.746
Ni1 0.500 0.500 0.500

Properties
**Crystal system**: trigonal
**SG**: R-3m

=====

A geometry-optimized ReNi2P structure. Source: Alexandria, functional PBE.

Cell lengths 4.618, 4.618, 4.618 Å; angles 135.07, 135.07, 65.42 degrees
Sites, in units of the cell vectors:
Ni1 0.750 0.250 0.500
Ni2 0.250 0.750 0.500
P1 0.500 0.500 0.000
Re1 0.000 0.000 0.000

Properties
**Crystal system**: tetragonal
**SG**: I4/mmm

=====

A geometry-optimized ReNi3P structure. Source: Alexandria, functional PBE.

Cell lengths 4.072, 4.072, 4.072 Å; angles 90.00, 90.00, 90.00 degrees
Sites, in units of the cell vectors:
Ni1 0.000 0.000 0.500
Ni2 0.000 0.500 0.000
Ni3 0.500 0.000 0.000
Re1 0.500 0.500 0.500
P1 0.000 0.000 0.000

Properties
**Crystal system**: cubic
**SG**: Pm-3m

=====

A geometry-optimized ReNi2P structure. Source: Alexandria, functional PBE.

Cell lengths 3.862, 2.726, 4.795 Å; angles 75.00, 90.00, 90.00 degrees
Sites, in units of the cell vectors:
Ni1 0.000 0.614 0.238
Ni2 0.000 0.386 0.762
Re1 0.500 0.000 0.500
P1 0.500 0.500 0.000

Properties
**Crystal system**: monoclinic
**SG**: P2/m

=====

A geometry-optimized ReNi2P structure. Source: Alexandria, functional PBE.

Cell lengths 3.050, 3.898, 4.049 Å; angles 90.00, 90.00, 90.00 degrees
Sites, in units of the cell vectors:
Ni1 0.500 0.500 0.000
Ni2 0.000 0.000 0.000
Re1 0.000 0.500 0.500
P1 0.500 0.000 0.500

Properties
**Crystal system**: orthorhombic
**SG**: Pmmm

=====

A geometry-optimized Re2NiP structure. Source: Alexandria, functional PBE.

Cell lengths 8.173, 8.173, 8.173 Å; angles 19.62, 19.62, 19.62 degrees
Sites, in units of the cell vectors:
Ni1 0.508 0.508 0.508
Re1 0.994 0.994 0.994
Re2 0.752 0.752 0.752
P1 0.246 0.246 0.246

Properties
**Crystal system**: trigonal
**SG**: R3m

=====

A geometry-optimized ReNi2P structure. Source: Alexandria, functional PBE.

Cell lengths 5.468, 5.468, 3.279 Å; angles 90.00, 90.00, 149.67 degrees
Sites, in units of the cell vectors:
Ni1 0.418 0.582 0.500
Ni2 0.051 0.949 0.000
P1 0.845 0.155 0.000
Re1 0.685 0.315 0.500

Properties
**Crystal system**: orthorhombic
**SG**: Amm2

=====

A geometry-optimized ReNi2P structure. Source: Alexandria, functional PBE.

Cell lengths 2.657, 2.657, 6.844 Å; angles 90.00, 90.00, 90.00 degrees
Sites, in units of the cell vectors:
P1 0.500 0.500 0.000
Re1 0.500 0.500 0.500
Ni1 0.000 0.000 0.220
Ni2 0.000 0.000 0.780

Properties
**Crystal system**: tetragonal
**SG**: P4/mmm

=====

A geometry-optimized ReNi2P structure. Source: Alexandria, functional PBE.

Cell lengths 3.478, 3.478, 8.975 Å; angles 78.83, 78.83, 90.00 degrees
Site moments in Bohr magnetons follow the coordinates.
Sites, in units of the cell vectors:
Ni1 0.875 0.863 0.750  0.03
Ni2 0.375 0.387 0.750  0.03
Ni3 0.137 0.625 0.250  0.02
Ni4 0.613 0.125 0.250  0.02
Re1 0.000 0.000 0.000  0.20
Re2 0.750 0.250 0.500  0.20
P1 0.500 0.500 0.000  0.00
P2 0.250 0.750 0.500  0.00

Properties
**Crystal system**: tetragonal
**SG**: I-42d

=====

A geometry-optimized Re2NiP structure. Source: Alexandria, functional PBE.

Cell lengths 4.917, 4.917, 4.917 Å; angles 145.44, 129.33, 62.79 degrees
Sites, in units of the cell vectors:
Ni1 0.533 0.533 0.000
Re1 0.253 0.753 0.500
Re2 0.974 0.974 0.000
P1 0.740 0.240 0.500

Properties
**Crystal system**: orthorhombic
**SG**: Imm2

=====

A geometry-optimized Re2NiP structure. Source: Alexandria, functional PBE.

Cell lengths 5.433, 5.433, 6.319 Å; angles 64.54, 64.54, 90.00 degrees
Sites, in units of the cell vectors:
Re1 0.375 0.375 0.750
Re2 0.875 0.875 0.750
Re3 0.125 0.625 0.250
Re4 0.625 0.125 0.250
Ni1 0.750 0.250 0.500
Ni2 0.000 0.000 0.000
P1 0.500 0.500 0.000
P2 0.250 0.750 0.500

Properties
**Crystal system**: tetragonal
**SG**: I-42d

=====

A geometry-optimized ReNi2P structure. Source: Alexandria, functional PBE.

Cell lengths 4.675, 4.675, 4.675 Å; angles 141.29, 129.50, 65.39 degrees
Sites, in units of the cell vectors:
Ni1 0.289 0.789 0.500
Ni2 0.002 0.002 0.000
Re1 0.720 0.220 0.500
P1 0.489 0.489 0.000

Properties
**Crystal system**: orthorhombic
**SG**: Imm2

=====

How do the records compare in energy of formation? In the order shown, they have 0.101, 0.132, 0.649, -0.037, 0.007, 0.014, -0.101, 0.001, 0.329, -0.062, 1.041, -0.023 eV/atom.